YPdS2: relaxed, GGA-PBE.

Lattice parameters (Å, degrees): 7.8194 7.8194 7.8194 29.75 29.75 29.75
Positions (direct):
Y1 0.0000 0.0000 0.0000
Pd1 0.5000 0.5000 0.5000
S1 0.3977 0.3977 0.3977
S2 0.6023 0.6023 0.6023

Values from the calculation:
ΔE to the lowest computed polymorph   0.0 meV/atom
Raw total energy   -24.20 eV per cell
Formation energy from raw total energies   -1072.1 meV/atom